[1]
VASP calculation (PBE-GGA) on crystalline Nd8GaGe3Br4 at its relaxed geometry.

Cell lengths 8.7825, 8.7825, 8.7825 Å; angles 59.03, 59.03, 59.03 degrees
With the nearest neighbours (Å) after each atom.
Fractional positions:
Nd 0.2383 0.2383 0.2383  3 Ge 2.94, 3 Br 3.24
Nd 0.2396 0.7386 0.7386  1 Ga 2.94, 2 Ge 2.95, 3 Br 3.23
Nd 0.2614 0.2614 0.7604  1 Ga 2.94, 2 Ge 2.95, 3 Br 3.23
Nd 0.2614 0.7604 0.2614  1 Ga 2.94, 2 Ge 2.95, 3 Br 3.23
Nd 0.7386 0.2396 0.7386  1 Ga 2.94, 2 Ge 2.95, 3 Br 3.23
Nd 0.7386 0.7386 0.2396  1 Ga 2.94, 2 Ge 2.95, 3 Br 3.23
Nd 0.7604 0.2614 0.2614  1 Ga 2.94, 2 Ge 2.95, 3 Br 3.23
Nd 0.7617 0.7617 0.7617  3 Ge 2.94, 3 Br 3.24
Ga 0.5000 0.5000 0.5000  6 Nd 2.94
Ge 0.0000 0.0000 0.5000  6 Nd 2.94-2.95
Ge 0.0000 0.5000 0.0000  6 Nd 2.94-2.95
Ge 0.5000 0.0000 0.0000  6 Nd 2.94-2.95
Br 0.0000 0.0000 0.0000  6 Nd 3.23
Br 0.0000 0.5000 0.5000  6 Nd 3.23-3.24
Br 0.5000 0.0000 0.5000  6 Nd 3.23-3.24
Br 0.5000 0.5000 0.0000  6 Nd 3.23-3.24

Properties
E_tot, eV/atom: -4.948
Space group: R-3m
Spin magnetization, μB per atom: 0.0000

***

[2]
VASP calculation (PBE-GGA) on crystalline Pa3Si2Pt4 at its relaxed geometry.

Cell lengths 5.7116, 5.7116, 8.4287 Å; angles 110.79, 110.79, 44.29 degrees
With the nearest neighbours (Å) after each atom.
Fractional positions:
Pa 0.0000 0.0000 0.0000  6 Pt 2.98-3.06, 4 Si 3.14
Pa 0.3362 0.3362 0.3249  8 Pt 2.97-3.18, 4 Si 3.07-3.11
Pa 0.6638 0.6638 0.6751  8 Pt 2.97-3.18, 4 Si 3.07-3.11
Si 0.3847 0.3847 0.7090  3 Pt 2.42-2.43
Si 0.6153 0.6153 0.2910  3 Pt 2.42-2.43
Pt 0.0634 0.0634 0.3857  2 Si 2.43
Pt 0.2913 0.2913 0.9296  1 Si 2.42
Pt 0.7087 0.7087 0.0704  1 Si 2.42
Pt 0.9366 0.9366 0.6143  2 Si 2.43

Properties
E_tot, eV/atom: -8.063
Space group: C2/m
Spin magnetization, μB per atom: 0.0000

***

[3]
VASP calculation (PBE-GGA) on crystalline CaReNi2 at its relaxed geometry.

Cell lengths 2.8208, 2.8208, 7.6806 Å; angles 90.00, 90.00, 90.00 degrees
With the nearest neighbours (Å) after each atom.
Fractional positions:
Ca 0.0000 0.0000 0.0000  4 Ca 2.82, 8 Ni 2.98
Re 0.0000 0.0000 0.5000  8 Ni 2.57, 4 Re 2.82
Ni 0.5000 0.5000 0.2884  4 Re 2.57, 4 Ni 2.82
Ni 0.5000 0.5000 0.7116  4 Re 2.57, 4 Ni 2.82

Properties
E_tot, eV/atom: -6.299
ΔE to the lowest computed polymorph, eV per atom: 0.029
Space group: P4/mmm
Energy of formation from the pure elements, eV/atom: 0.204
Spin magnetization, μB per atom: 0.0000

***

[4]
VASP calculation (PBE-GGA) on crystalline KYBe2 at its relaxed geometry.

Cell lengths 5.1036, 5.1036, 7.6586 Å; angles 120.26, 120.26, 46.58 degrees
With the nearest neighbours (Å) after each atom.
Fractional positions:
K 0.0000 0.0000 0.0000  2 Be 3.31
Y 0.5000 0.5000 0.5000  6 Be 2.71-2.83
Be 0.2185 0.2185 0.5172  2 Be 2.16
Be 0.7815 0.7815 0.4828  2 Be 2.16

Properties
E_tot, eV/atom: -3.234
ΔE to the lowest computed polymorph, eV per atom: 0.147
Space group: C2/m
Energy of formation from the pure elements, eV/atom: 0.520
Spin magnetization, μB per atom: 0.0000

***

[5]
VASP calculation (PBE-GGA) on crystalline Ba3NiPd at its relaxed geometry.

Cell lengths 5.8238, 5.8238, 5.8238 Å; angles 90.00, 90.00, 90.00 degrees
With the nearest neighbours (Å) after each atom.
Fractional positions:
Ba 0.0000 0.0000 0.5000  2 Ni 2.91
Ba 0.0000 0.5000 0.0000  2 Ni 2.91
Ba 0.5000 0.0000 0.0000  2 Ni 2.91
Ni 0.0000 0.0000 0.0000  6 Ba 2.91
Pd 0.5000 0.5000 0.5000  12 Ba 4.12

Properties
E_tot, eV/atom: -3.251
Space group: Pm-3m
Energy of formation from the pure elements, eV/atom: 0.098
Spin magnetization, μB per atom: 0.0000

***

[6]
VASP calculation (PBE-GGA) on crystalline Sr2EuDy at its relaxed geometry.

Cell lengths 14.0825, 14.0825, 14.0825 Å; angles 15.63, 15.63, 15.63 degrees
With the nearest neighbours (Å) after each atom.
Fractional positions:
Sr 0.0849 0.0849 0.0849  1 Dy 3.54, 6 Sr 3.83
Sr 0.9151 0.9151 0.9151  1 Dy 3.54, 6 Sr 3.83
Eu 0.5000 0.5000 0.5000  6 Eu 3.83, 6 Sr 4.06
Dy 0.0000 0.0000 0.0000  2 Sr 3.54, 6 Dy 3.83

Properties
E_tot, eV/atom: -4.246
ΔE to the lowest computed polymorph, eV per atom: 0.151
Space group: R-3m
Energy of formation from the pure elements, eV/atom: 0.314
Spin magnetization, μB per atom: 1.7255

***

[7]
VASP calculation (PBE-GGA) on crystalline Pm3TmAl4 at its relaxed geometry.

Cell lengths 3.6559, 3.6559, 14.6973 Å; angles 90.00, 90.00, 90.00 degrees
With the nearest neighbours (Å) after each atom.
Fractional positions:
Pm 0.0000 0.0000 0.0000  8 Al 3.20
Pm 0.0000 0.0000 0.2562  8 Al 3.20-3.22, 1 Tm 3.58
Pm 0.0000 0.0000 0.7438  8 Al 3.20-3.22, 1 Tm 3.58
Tm 0.0000 0.0000 0.5000  8 Al 3.07
Al 0.5000 0.5000 0.1280  8 Pm 3.20
Al 0.5000 0.5000 0.3867  4 Tm 3.07, 4 Pm 3.22, 1 Al 3.33
Al 0.5000 0.5000 0.6133  4 Tm 3.07, 4 Pm 3.22, 1 Al 3.33
Al 0.5000 0.5000 0.8720  8 Pm 3.20

Properties
E_tot, eV/atom: -4.587
Space group: P4/mmm
Energy of formation from the pure elements, eV/atom: -0.375
Spin magnetization, μB per atom: 0.0000

***

[8]
VASP calculation (PBE-GGA) on crystalline KBe2Ru at its relaxed geometry.

Cell lengths 9.5150, 9.5150, 9.5150 Å; angles 16.59, 16.59, 16.59 degrees
With the nearest neighbours (Å) after each atom.
Fractional positions:
K 0.0000 0.0000 0.0000  6 K 2.75
Be 0.5045 0.5045 0.5045  3 Ru 2.35, 3 Be 2.42
Be 0.7728 0.7728 0.7728  3 Be 2.42
Ru 0.2328 0.2328 0.2328  3 Be 2.35

Properties
E_tot, eV/atom: -3.624
ΔE to the lowest computed polymorph, eV per atom: 0.609
Space group: R3m
Energy of formation from the pure elements, eV/atom: 0.833
Spin magnetization, μB per atom: 0.0000